(1)
# CuTc2Br PBE-GGA optimized geometry
data_CuTc2Br
_cell_length_a 4.3972
_cell_length_b 4.3972
_cell_length_c 3.0237
_cell_angle_alpha 90.00
_cell_angle_beta 90.00
_cell_angle_gamma 90.00
_space_group_name_H-M_alt 'P 4/m m m'
_space_group_IT_number 123
_space_group_name_Hall '-P 4 2'
loop_
_atom_site_label
_atom_site_type_symbol
_atom_site_fract_x
_atom_site_fract_y
_atom_site_fract_z
_atom_site_occupancy
Cu1 Cu 0.0000 0.0000 0.0000 1
Tc1 Tc 0.0000 0.5000 0.5000 1
Br1 Br 0.5000 0.5000 0.0000 1
# **E_tot**: -5.711 eV/atom
# **ΔE_f (raw)**: 0.914 eV/atom
# **Mass density**: 9.641 g/cm3
# **M_tot**: 0.000 μB per atom

(2)
# VSbHI2 PBE-GGA optimized geometry
data_VSbHI2
_cell_length_a 5.5181
_cell_length_b 5.5181
_cell_length_c 5.1356
_cell_angle_alpha 90.00
_cell_angle_beta 90.00
_cell_angle_gamma 90.00
_space_group_name_H-M_alt 'P 4/m m m'
_space_group_IT_number 123
_space_group_name_Hall '-P 4 2'
loop_
_atom_site_label
_atom_site_type_symbol
_atom_site_fract_x
_atom_site_fract_y
_atom_site_fract_z
_atom_site_occupancy
V1 V 0.0000 0.0000 0.0000 1
Sb1 Sb 0.0000 0.0000 0.5000 1
H1 H 0.5000 0.5000 0.5000 1
I1 I 0.0000 0.5000 0.0000 1
# **E_tot**: -3.293 eV/atom
# **Mass density**: 4.540 g/cm3
# **M_tot**: 0.143 μB per atom

(3)
# Li2PuHg2O6 PBE-GGA optimized geometry
data_Li2PuHg2O6
_cell_length_a 5.6092
_cell_length_b 9.1989
_cell_length_c 5.7717
_cell_angle_alpha 90.00
_cell_angle_beta 101.02
_cell_angle_gamma 90.00
_space_group_name_H-M_alt 'C 1 2/m 1'
_space_group_IT_number 12
loop_
_space_group_symop_operation_xyz
'x,y,z'
'-x,-y,-z'
'-x,y,-z'
'x,-y,z'
'x+1/2,y+1/2,z'
'-x+1/2,-y+1/2,-z'
'-x+1/2,y+1/2,-z'
'x+1/2,-y+1/2,z'
loop_
_atom_site_label
_atom_site_type_symbol
_atom_site_fract_x
_atom_site_fract_y
_atom_site_fract_z
_atom_site_occupancy
Li1 Li 0.0000 0.1614 0.0000 1
Pu1 Pu 0.0000 0.5000 0.0000 1
Hg1 Hg 0.0000 0.1786 0.5000 1
O1 O 0.1214 0.3415 0.8107 1
O2 O 0.1373 0.0000 0.7851 1
# **E_tot**: -5.921 eV/atom
# **ΔE_f (raw)**: -1.511 eV/atom
# **Mass density**: 8.578 g/cm3
# **M_tot**: 0.182 μB per atom